DFT (PBE-GGA) results for an optimized crystal structure of CeTcSn.

Computed properties:
distance to the lowest polymorph of the same formula = 91 meV/atom
final energy = -7.119 eV per atom
energy of formation = -351 meV per atom
ρ = 8.09 Mg/m³

abc: 6.6367 6.1155 9.6591
angles: 90.00 131.67 90.00
Fractional coordinates of all 12 atoms:
Ce (0.0999, 0.1314, 0.3866)
Ce (0.0999, 0.3686, 0.8866)
Ce (0.9001, 0.6314, 0.1134)
Ce (0.9001, 0.8686, 0.6134)
Tc (0.1263, 0.1386, 0.1574)
Tc (0.1263, 0.3614, 0.6574)
Tc (0.8737, 0.6386, 0.3426)
Tc (0.8737, 0.8614, 0.8426)
Sn (0.4257, 0.6207, 0.6134)
Sn (0.4257, 0.8793, 0.1134)
Sn (0.5743, 0.1207, 0.8866)
Sn (0.5743, 0.3793, 0.3866)